Density functional theory data (PBE-GGA) for crystalline Al4P3H3O15 at its relaxed geometry.

Results
E_tot (eV/atom): -7.00
Crystal system: monoclinic

abc: 10.220 10.220 7.290
angles: 99.85 99.85 40.67
Fractional coordinates of all 50 atoms:
Al1 0.156 0.698 0.577
Al2 0.302 0.844 0.923
Al3 0.323 0.338 0.169
Al4 0.338 0.323 0.669
Al5 0.662 0.677 0.331
Al6 0.677 0.662 0.831
Al7 0.698 0.156 0.077
Al8 0.844 0.302 0.423
P1 0.046 0.287 0.087
P2 0.287 0.046 0.587
P3 0.395 0.605 0.250
P4 0.605 0.395 0.750
P5 0.713 0.954 0.413
P6 0.954 0.713 0.913
H1 0.004 0.996 0.250
H2 0.083 0.528 0.396
H3 0.472 0.917 0.104
H4 0.528 0.083 0.896
H5 0.917 0.472 0.604
H6 0.996 0.004 0.750
O1 0.086 0.572 0.073
O2 0.087 0.604 0.739
O3 0.092 0.116 0.532
O4 0.116 0.092 0.032
O5 0.133 0.867 0.750
O6 0.222 0.458 0.421
O7 0.229 0.238 0.638
O8 0.238 0.229 0.138
O9 0.262 0.708 0.410
O10 0.292 0.738 0.090
O11 0.396 0.913 0.761
O12 0.407 0.461 0.688
O13 0.428 0.914 0.427
O14 0.458 0.222 0.921
O15 0.461 0.407 0.188
O16 0.539 0.593 0.812
O17 0.542 0.778 0.079
O18 0.572 0.086 0.573
O19 0.593 0.539 0.312
O20 0.604 0.087 0.239
O21 0.708 0.262 0.910
O22 0.738 0.292 0.590
O23 0.762 0.771 0.862
O24 0.771 0.762 0.362
O25 0.778 0.542 0.579
O26 0.867 0.133 0.250
O27 0.884 0.908 0.968
O28 0.908 0.884 0.468
O29 0.913 0.396 0.261
O30 0.914 0.428 0.927